# Sm5InHg | the Alexandria database | GGA-PBE | relaxed
# E_form = -1.0 eV per formula unit
data_Sm5InHg
_chemical_formula_sum 'Sm20 In4 Hg4'
_space_group_name_H-M_alt 'C 1 2/c 1'
_space_group_IT_number 15
_cell_length_a 8.754
_cell_length_b 8.416
_cell_length_c 12.053
_cell_angle_alpha 90.00
_cell_angle_beta 103.85
_cell_angle_gamma 90.00
loop_
_space_group_symop_operation_xyz
'x,y,z'
'-x,-y,-z'
'-x,y,-z+1/2'
'x,-y,z+1/2'
'x+1/2,y+1/2,z'
'-x+1/2,-y+1/2,-z'
'-x+1/2,y+1/2,-z+1/2'
'x+1/2,-y+1/2,z+1/2'
loop_
_atom_site_label
_atom_site_fract_x
_atom_site_fract_y
_atom_site_fract_z
Sm1 0.000 0.030 0.250
Sm2 0.127 0.362 0.553
Sm3 0.232 0.290 0.860
In1 0.000 0.412 0.250
Hg1 0.000 0.000 0.000

# Sm2In3Hg | the Alexandria database | GGA-PBE | relaxed
# E_form = -2.7 eV per formula unit
# energy above the most stable polymorph in this dataset = 0.005 eV/atom
data_Sm2In3Hg
_chemical_formula_sum 'Sm16 In24 Hg8'
_space_group_name_H-M_alt 'F m m m'
_space_group_IT_number 69
_space_group_name_Hall '-F 2 2'
_cell_length_a 7.373
_cell_length_b 9.940
_cell_length_c 17.161
_cell_angle_alpha 90.00
_cell_angle_beta 90.00
_cell_angle_gamma 90.00
loop_
_atom_site_label
_atom_site_fract_x
_atom_site_fract_y
_atom_site_fract_z
Sm1 0.247 0.000 0.000
Sm2 0.250 0.250 0.250
In1 0.000 0.000 0.333
In2 0.000 0.249 0.084
Hg1 0.000 0.000 0.167

> What is the E_form in the first record?

-1.0 eV per formula unit

> Among the records above, which one has the lowest E_form?

Sm2In3Hg

> Which formula does entry 1 have?

Sm5InHg